## Rb2LiTcI6 (PBE)

Data for a relaxed Rb2LiTcI6 crystal.

abc: 8.1268 8.1268 8.1268
angles: 119.96 119.96 90.06
Closest atoms and distances in Å follow each position.
Sites, in units of the cell vectors:
Rb 0.2500 0.7500 0.5000  12 I 4.06-4.07
Rb 0.7500 0.2500 0.5000  12 I 4.06-4.07
Li 0.0000 0.0000 0.0000  6 I 2.98-2.99
Tc 0.5000 0.5000 0.0000  6 I 2.76
I 0.2593 0.2593 0.0000  1 Tc 2.76, 1 Li 2.98
I 0.2597 0.2597 0.5195  1 Tc 2.76, 1 Li 2.99
I 0.2597 0.7403 0.0000  1 Tc 2.76, 1 Li 2.99
I 0.7403 0.2597 0.0000  1 Tc 2.76, 1 Li 2.99
I 0.7403 0.7403 0.4805  1 Tc 2.76, 1 Li 2.99
I 0.7407 0.7407 0.0000  1 Tc 2.76, 1 Li 2.98

Summary:
* electronic total energy: -0.1148 Ha/atom
* space group: I4/mmm (139)
* crystal system: tetragonal
* magnetic moment: 0.20 μB/atom

## Rb2TlCuBr6 (PBE)

Data for a relaxed Rb2TlCuBr6 crystal.

abc: 7.8393 7.8393 7.8393
angles: 122.30 122.30 86.06
Closest atoms and distances in Å follow each position.
Sites, in units of the cell vectors:
Rb 0.2500 0.7500 0.5000  8 Br 3.59-3.78
Rb 0.7500 0.2500 0.5000  8 Br 3.59-3.78
Tl 0.0000 0.0000 0.0000  6 Br 2.87-2.91
Cu 0.5000 0.5000 0.0000  4 Br 2.54
Br 0.2196 0.6835 0.9031  1 Cu 2.54
Br 0.2504 0.2504 0.0000  1 Cu 2.86, 1 Tl 2.87
Br 0.3165 0.2196 0.5361  1 Cu 2.54
Br 0.6835 0.7804 0.4639  1 Cu 2.54
Br 0.7496 0.7496 0.0000  1 Cu 2.86, 1 Tl 2.87
Br 0.7804 0.3165 0.0969  1 Cu 2.54

Summary:
* electronic total energy: -0.1020 Ha/atom
* space group: I4/m (87)
* crystal system: tetragonal
* energy above the most stable polymorph in this dataset: 0.00 eV per formula unit